Entry 1:
15
Lattice="10.213 0.000 0.000 -5.107 8.845 0.000 0.000 0.000 3.991" Properties=species:S:1:pos:R:3 comment="K8HF6, relaxed, DFT PBE-GGA" e_tot_ev_per_atom=-3.61 dos_at_fermi_per_ev_fu=1.4 pbc="T T T"
K -1.379 3.059 0.979
K -1.768 8.509 0.979
K 0.000 5.897 2.989
K 1.960 2.724 3.012
K 3.146 6.121 0.979
K 5.107 2.948 1.002
K 6.874 0.336 3.012
K 6.485 5.785 3.012
H 0.000 0.000 0.000
F -1.982 5.861 1.011
F 1.021 4.198 1.011
F 4.146 1.215 2.980
F 0.960 7.630 1.011
F 4.085 4.647 2.980
F 7.088 2.983 2.980

Entry 2:
26
Lattice="6.934 0.000 0.000 1.907 8.093 0.000 2.051 -0.128 15.101" Properties=species:S:1:pos:R:3 comment="Tb3Er8Th2, relaxed, DFT PBE-GGA" e_tot_ev_per_atom=-4.87 delta_e_f_ev_per_atom=0.15 dos_at_fermi_per_ev_fu=18.5 pbc="T T T"
Tb 0.000 0.000 0.000
Tb 1.979 3.982 7.550
Tb 2.618 0.419 3.018
Tb 4.440 3.540 4.388
Tb 6.451 4.424 10.712
Tb 8.274 7.545 12.083
Er 2.890 4.536 10.810
Er 2.701 5.583 2.159
Er 4.748 7.365 11.715
Er 2.795 1.028 6.431
Er 4.597 6.366 8.426
Er 4.592 2.325 13.078
Er 4.514 1.606 9.611
Er 6.416 5.340 14.151
Er 4.476 2.624 0.949
Er 6.377 6.358 5.490
Er 6.299 5.639 2.023
Er 6.295 1.598 6.675
Er 8.096 6.936 8.670
Er 6.143 0.599 3.386
Er 8.190 2.381 12.941
Er 8.001 3.428 4.290
Th 0.908 2.830 1.073
Th 2.817 6.541 5.460
Th 8.075 1.423 9.641
Th 9.983 5.134 14.028

Entry 3:
4
Lattice="3.117 0.000 0.000 0.000 3.231 0.000 0.000 0.000 7.654" Properties=species:S:1:pos:R:3 comment="CaZrCo2, relaxed, DFT PBE-GGA" e_tot_ev_per_atom=-5.98 delta_e_f_ev_per_atom=0.21 dos_at_fermi_per_ev_fu=5.4 pbc="T T T"
Ca 0.000 0.000 0.000
Zr 1.559 1.615 4.682
Co 0.000 0.000 3.047
Co 1.559 1.615 2.108

Entry 4:
12
Lattice="4.462 0.000 0.000 0.000 7.575 0.000 -0.468 0.000 5.652" Properties=species:S:1:pos:R:3 comment="Ag2RuPbF8, relaxed, DFT PBE-GGA" e_form_raw_ev_per_atom=-1.64 e_tot_ev_per_atom=-4.44 dos_at_fermi_per_ev_fu=4.6 pbc="T T T"
Ag 0.000 1.874 0.000
Ag 0.000 5.701 0.000
Ru 1.997 0.000 2.826
Pb 1.997 3.787 2.826
F -0.043 3.787 1.446
F 0.477 0.000 1.636
F 1.387 1.500 3.983
F 1.387 6.075 3.983
F 2.607 1.500 1.669
F 2.607 6.075 1.669
F 3.518 0.000 4.016
F 4.038 3.787 4.206

Entry 5:
4
Lattice="3.045 0.000 0.000 0.000 3.506 0.000 0.000 0.000 6.807" Properties=species:S:1:pos:R:3 comment="Tl2NiW, relaxed, DFT PBE-GGA" e_tot_ev_per_atom=-4.97 delta_e_f_ev_per_atom=0.89 dos_at_fermi_per_ev_fu=3.5 pbc="T T T"
Tl 0.000 0.000 1.573
Tl 0.000 0.000 5.234
Ni 1.522 1.753 0.000
W 1.522 1.753 3.403

Entry 6:
5
Lattice="3.984 0.000 0.000 0.000 3.984 0.000 0.000 0.000 4.690" Properties=species:S:1:pos:R:3 comment="CaNiRu2C, relaxed, DFT PBE-GGA" e_tot_ev_per_atom=-6.78 delta_e_f_ev_per_atom=0.33 dos_at_fermi_per_ev_fu=4.1 pbc="T T T"
Ca 0.000 0.000 0.000
Ni 1.992 1.992 0.000
Ru 0.000 1.992 2.345
Ru 1.992 0.000 2.345
C 0.000 0.000 2.345